1.
A relaxed structure of Rb6ZrBr12, computed with PBE-GGA.

Computed properties:
ΔE_f (raw) = -1.411 eV/atom
volume = 44.72 Å³/atom

Cell and atoms, written as POSCAR:
```
Rb6ZrBr12
1.0
7.189 4.151 4.746
-7.189 4.151 4.746
0.000 -8.301 4.746
Rb Zr Br
6 1 12
direct
0.159 0.625 0.277
0.277 0.159 0.625
0.375 0.723 0.841
0.625 0.277 0.159
0.723 0.841 0.375
0.841 0.375 0.723
0.000 0.000 0.000
0.014 0.722 0.942
0.058 0.986 0.278
0.151 0.472 0.582
0.278 0.058 0.986
0.418 0.849 0.528
0.472 0.582 0.151
0.528 0.418 0.849
0.582 0.151 0.472
0.722 0.942 0.014
0.849 0.528 0.418
0.942 0.014 0.722
0.986 0.278 0.058
```

=====

2.
A relaxed structure of TmSnHg2, computed with PBE-GGA.

Computed properties:
energy of formation from the pure elements = -214 meV per atom
volume = 27.43 Å³/atom

Cell and atoms, written as POSCAR:
```
TmSnHg2
1.0
2.321 1.340 5.879
-2.321 1.340 5.879
0.000 -2.680 5.879
Tm Sn Hg
1 1 2
direct
0.000 0.000 0.000
0.812 0.812 0.812
0.405 0.405 0.405
0.580 0.580 0.580
```

=====

3.
A relaxed structure of La2TbPr8, computed with PBE-GGA.

Computed properties:
energy above the lowest structure with this stoichiometry = 0 meV per atom
energy of formation from the pure elements = 131 meV per atom
volume = 36.48 Å³/atom

Cell and atoms, written as POSCAR:
```
La2TbPr8
1.0
4.644 -8.424 0.000
4.644 8.424 0.000
-3.307 0.000 5.129
La Tb Pr
2 1 8
direct
0.193 0.807 0.000
0.807 0.193 0.000
0.500 0.500 0.500
0.081 0.081 0.297
0.171 0.401 0.824
0.295 0.705 0.500
0.401 0.171 0.824
0.599 0.829 0.176
0.705 0.295 0.500
0.829 0.599 0.176
0.919 0.919 0.703
```

=====

4.
A relaxed structure of Mn2AlFe, computed with PBE-GGA.

Computed properties:
energy of formation from the pure elements = -132 meV per atom
volume = 11.95 Å³/atom

Cell and atoms, written as POSCAR:
```
Mn2AlFe
1.0
3.000 0.000 0.000
0.000 3.915 0.000
0.000 0.000 4.070
Mn Al Fe
2 1 1
direct
0.000 0.000 0.000
0.500 0.500 0.000
0.000 0.500 0.500
0.500 0.000 0.500
```

=====

5.
A relaxed structure of Pm6Ir2OsBr3, computed with PBE-GGA.

Computed properties:
ΔE_f (raw) = -0.957 eV/atom
volume = 28.57 Å³/atom

Cell and atoms, written as POSCAR:
```
Pm6Ir2OsBr3
1.0
3.571 -6.186 0.000
3.571 6.186 0.000
-2.380 0.000 7.760
Pm Ir Os Br
6 2 1 3
direct
0.065 0.394 0.195
0.264 0.264 0.805
0.394 0.065 0.195
0.606 0.935 0.805
0.736 0.736 0.195
0.935 0.606 0.805
0.333 0.667 0.000
0.667 0.333 0.000
0.000 0.000 0.000
0.165 0.835 0.500
0.500 0.500 0.500
0.835 0.165 0.500
```

=====

6.
A relaxed structure of VNiN, computed with PBE-GGA.

Computed properties:
energy above the lowest structure with this stoichiometry = 98 meV per atom
ΔE_f (raw) = -0.197 eV/atom
volume = 10.48 Å³/atom

Cell and atoms, written as POSCAR:
```
VNiN
1.0
0.000 4.639 5.510
2.459 0.000 5.510
2.459 4.639 0.000
V Ni N
4 4 4
direct
0.024 0.726 0.024
0.274 0.976 0.274
0.726 0.024 0.726
0.976 0.274 0.976
0.000 0.500 0.500
0.500 0.000 0.500
0.500 0.500 0.000
0.500 0.500 0.500
0.011 0.011 0.739
0.261 0.261 0.989
0.739 0.739 0.011
0.989 0.989 0.261
```

=====

7.
A relaxed structure of Cs3AgHg, computed with PBE-GGA.

Computed properties:
energy above the lowest structure with this stoichiometry = 0 meV per atom
energy of formation from the pure elements = -83 meV per atom
volume = 61.42 Å³/atom

Cell and atoms, written as POSCAR:
```
Cs3AgHg
1.0
10.759 -2.580 0.000
10.759 2.580 0.000
-1.383 0.000 11.066
Cs Ag Hg
6 2 2
direct
0.069 0.069 0.330
0.219 0.219 0.705
0.397 0.397 0.045
0.603 0.603 0.955
0.781 0.781 0.295
0.931 0.931 0.670
0.229 0.229 0.042
0.771 0.771 0.958
0.441 0.441 0.408
0.559 0.559 0.592
```

=====

8.
A relaxed structure of AlCrIn2, computed with PBE-GGA.

Computed properties:
energy of formation from the pure elements = 288 meV per atom
volume = 20.12 Å³/atom

Cell and atoms, written as POSCAR:
```
AlCrIn2
1.0
1.576 0.910 9.357
-1.576 0.910 9.357
0.000 -1.820 9.357
Al Cr In
1 1 2
direct
0.000 0.000 0.000
0.734 0.734 0.734
0.244 0.244 0.244
0.479 0.479 0.479
```